1.
Entry from Alexandria via LeMat-Bulk: a relaxed BaLi2Cd2 crystal (GGA-PBEsol).

Geometry as POSCAR:
```
BaLi2Cd2
1.0
8.4942 0.0000 0.0000
0.0000 8.4942 0.0000
0.0000 0.0000 3.3603
Ba Li Cd
2 4 4
direct
0.0000 0.0000 0.0000
0.5000 0.5000 0.0000
0.1187 0.3813 0.0000
0.3813 0.8813 0.0000
0.6187 0.1187 0.0000
0.8813 0.6187 0.0000
0.1680 0.6680 0.5000
0.3320 0.1680 0.5000
0.6680 0.8320 0.5000
0.8320 0.3320 0.5000
```

Properties
electronic total energy	-0.137	Ry per atom
DFT formation energy	-0.164	eV per atom
density of states at the Fermi level	5.492	states/eV per cell

2.
Entry from Alexandria via LeMat-Bulk: a relaxed BaLi2Cd crystal (GGA-PBEsol).

Geometry as POSCAR:
```
BaLi2Cd
1.0
3.9738 0.0000 0.0000
0.0000 4.5360 0.0000
-1.9089 0.0000 6.7382
Ba Li Cd
1 2 1
direct
0.0000 0.0000 0.0000
0.2802 0.5000 0.5850
0.7249 0.0000 0.4879
0.6290 0.5000 0.2673
```

Properties
electronic total energy	-0.139	Ry per atom
DFT formation energy	-0.073	eV per atom
density of states at the Fermi level	2.786	states/eV per cell